No. 1
Mg2CdW: optimized geometry, PBEsol.

Summary:
calculated density: 7.90 g/cm³
total magnetic moment: 0.00 μB/f.u.
formation energy from the elements: 0.435 eV per atom

a b c (Å): 9.892 2.887 5.201
angles (deg): 90.00 102.49 90.00
Space group C2/m (No. 12)
Asymmetric unit:
Mg1 0.250 0.000 0.234
Cd1 0.000 0.000 0.500
W1 0.000 0.500 0.000


No. 2
ReMo2Rh: optimized geometry, PBEsol.

Summary:
calculated density: 13.64 g/cm³
total magnetic moment: 0.00 μB/f.u.
formation energy from the elements: 0.036 eV per atom

a b c (Å): 3.855 3.855 7.878
angles (deg): 90.00 90.00 90.00
Space group I-4m2 (No. 119)
Asymmetric unit:
Re1 0.000 0.000 0.000
Mo1 0.000 0.000 0.500
Mo2 0.000 0.500 0.250
Rh1 0.000 0.500 0.750


No. 3
Rh2C2Se: optimized geometry, PBEsol.

Summary:
calculated density: 8.34 g/cm³
raw formation energy: 0.66 eV/atom
total magnetic moment: 0.00 μB/f.u.

a b c (Å): 3.205 3.205 11.969
angles (deg): 90.00 90.00 90.00
Space group I4/mmm (No. 139)
Asymmetric unit:
Rh1 0.000 0.000 0.148
C1 0.000 0.500 0.250
Se1 0.000 0.000 0.500


No. 4
ZrMoSe2: optimized geometry, PBEsol.

Summary:
calculated density: 8.30 g/cm³
raw formation energy: -0.61 eV/atom
total magnetic moment: 0.00 μB/f.u.

a b c (Å): 9.180 3.312 4.669
angles (deg): 90.00 103.40 90.00
Space group Cm (No. 8)
Asymmetric unit:
Zr1 0.000 0.000 0.000
Mo1 0.267 0.500 0.387
Se1 0.263 0.000 0.848
Se2 0.495 0.000 0.479